No. 1
Li5BeSeS2 | PBE | relaxed

Cell: 4.5705 4.5705 8.6408 Å, 90.00 90.00 90.00°
Fractional positions:
Li  0.0000  0.0000  0.0000
Li  0.0000  0.5000  0.1974
Li  0.0000  0.5000  0.8026
Li  0.5000  0.0000  0.1974
Li  0.5000  0.0000  0.8026
Be  0.0000  0.0000  0.5000
Se  0.5000  0.5000  0.0000
S  0.0000  0.0000  0.2765
S  0.0000  0.0000  0.7235

Results
E_form (uncorrected): -0.849 eV per atom

=====

No. 2
Li2BeSiS4 | PBE | relaxed

Cell: 6.1423 6.1423 6.1423 Å, 126.57 126.57 78.96°
Fractional positions:
Li  0.0000  0.0000  0.0000
Li  0.7500  0.2500  0.5000
Be  0.5000  0.5000  0.0000
Si  0.2500  0.7500  0.5000
S  0.1754  0.1272  0.5470
S  0.3715  0.8246  0.9518
S  0.5803  0.6285  0.4530
S  0.8728  0.4197  0.0482

Results
E_form (uncorrected): -1.070 eV per atom

=====

No. 3
Li5BeTeS2 | PBE | relaxed

Cell: 4.7095 4.7095 8.6740 Å, 90.00 90.00 90.00°
Fractional positions:
Li  0.0000  0.0000  0.0000
Li  0.0000  0.5000  0.2197
Li  0.0000  0.5000  0.7803
Li  0.5000  0.0000  0.2197
Li  0.5000  0.0000  0.7803
Be  0.0000  0.0000  0.5000
Te  0.5000  0.5000  0.0000
S  0.0000  0.0000  0.2779
S  0.0000  0.0000  0.7221

Results
E_form (uncorrected): -0.819 eV per atom

=====

No. 4
Li2TiBeS | PBE | relaxed

Cell: 4.1278 4.1278 4.5277 Å, 90.00 90.00 90.00°
Fractional positions:
Li  0.0000  0.5000  0.0000
Li  0.5000  0.0000  0.0000
Ti  0.0000  0.0000  0.5000
Be  0.0000  0.0000  0.0000
S  0.5000  0.5000  0.5000

Results
E_form (uncorrected): 0.293 eV per atom

=====

No. 5
LiBeW2S | PBE | relaxed

Cell: 4.4021 4.4021 3.3320 Å, 90.00 90.00 90.00°
Fractional positions:
Li  0.0000  0.0000  0.0000
Be  0.0000  0.0000  0.5000
W  0.0000  0.5000  0.0000
W  0.5000  0.0000  0.0000
S  0.5000  0.5000  0.5000

Results
E_form (uncorrected): 1.450 eV per atom

=====

No. 6
LiYBeS2 | PBE | relaxed

Cell: 4.4335 4.4335 4.6611 Å, 90.00 90.00 90.00°
Fractional positions:
Li  0.0000  0.0000  0.0000
Y  0.0000  0.0000  0.5000
Be  0.5000  0.5000  0.5000
S  0.0000  0.5000  0.0000
S  0.5000  0.0000  0.0000

Results
E_form (uncorrected): 0.178 eV per atom

=====

| no. | ρ (g/cm³) | D(E_F) (states/eV/f.u.) |
| --- | --- | --- |
| 1 | 1.72 | 2.17 |
| 2 | 2.06 | 0.00 |
| 3 | 2.03 | 1.79 |
| 4 | 2.21 | 4.50 |
| 5 | 10.69 | 3.82 |
| 6 | 3.06 | 2.60 |